P:
# GGA+U LiMn4Co2O12, relaxed
data_LiMn4Co2O12
_symmetry_space_group_name_H-M 'C 1 2 1'
_symmetry_Int_Tables_number 5
_cell_length_a 8.6544
_cell_length_b 4.9773
_cell_length_c 10.3122
_cell_angle_alpha 90.00
_cell_angle_beta 92.56
_cell_angle_gamma 90.00
loop_
_symmetry_equiv_pos_as_xyz
'x,y,z'
'-x,y,-z'
'x+1/2,y+1/2,z'
'-x+1/2,y+1/2,-z'
loop_
_atom_site_label
_atom_site_fract_x
_atom_site_fract_y
_atom_site_fract_z
Li1 0.0000 0.0000 0.0000
Mn1 0.0732 0.6108 0.2508
Mn2 0.0943 0.1123 0.7437
Co1 0.2398 0.1110 0.2502
O1 0.0670 0.2686 0.1543
O2 0.0819 0.9450 0.3449
O3 0.0906 0.4509 0.6554
O4 0.0970 0.7841 0.8461
O5 0.2350 0.7810 0.1564
O6 0.2428 0.4384 0.3443
# Calculated density ... 4.016 Mg/m³

Q:
# GGA+U LiMn4Co2O12, relaxed
data_LiMn4Co2O12
_symmetry_space_group_name_H-M 'P 1'
_symmetry_Int_Tables_number 1
_cell_length_a 4.9857
_cell_length_b 4.9860
_cell_length_c 10.1503
_cell_angle_alpha 91.26
_cell_angle_beta 90.70
_cell_angle_gamma 119.92
loop_
_symmetry_equiv_pos_as_xyz
'x,y,z'
loop_
_atom_site_label
_atom_site_fract_x
_atom_site_fract_y
_atom_site_fract_z
Li1 0.0000 0.0000 0.0000
Mn1 0.2909 0.6173 0.7529
Mn2 0.5846 0.9215 0.2532
Mn3 0.6245 0.2838 0.7529
Mn4 0.9182 0.5879 0.2532
Co1 0.2540 0.2573 0.2555
Co2 0.9566 0.9492 0.7442
O1 0.2410 0.9206 0.1548
O2 0.2587 0.5943 0.3475
O3 0.2847 0.2789 0.8491
O4 0.2872 0.9429 0.6565
O5 0.5788 0.5807 0.1561
O6 0.5897 0.2632 0.3475
O7 0.6157 0.6072 0.6564
O8 0.6422 0.9578 0.8489
O9 0.9187 0.2431 0.1548
O10 0.9270 0.9316 0.3477
O11 0.9514 0.2787 0.6565
O12 0.9636 0.6361 0.8489
# Calculated density ... 4.076 Mg/m³

It turns out Q is the most stable, with the second structure 0.006 eV/atom higher.

P:
# GGA+U LiMnCo3O8, relaxed
data_LiMnCo3O8
_symmetry_space_group_name_H-M 'R -3 m'
_symmetry_Int_Tables_number 166
_symmetry_space_group_name_Hall '-R 3 2"'
_cell_length_a 5.6712
_cell_length_b 5.6712
_cell_length_c 14.9853
_cell_angle_alpha 90.00
_cell_angle_beta 90.00
_cell_angle_gamma 120.00
loop_
_atom_site_label
_atom_site_fract_x
_atom_site_fract_y
_atom_site_fract_z
Li1 0.0000 0.0000 0.0000
Mn1 0.0000 0.0000 0.5000
Co1 0.0000 0.5000 0.5000
O1 0.0000 0.0000 0.2276
O2 0.0060 0.5030 0.7674
# Calculated density ... 4.376 Mg/m³

Q:
# GGA+U LiMnCo3O8, relaxed
data_LiMnCo3O8
_symmetry_space_group_name_H-M 'C 1 2/m 1'
_symmetry_Int_Tables_number 12
_cell_length_a 9.8435
_cell_length_b 5.6778
_cell_length_c 6.1098
_cell_angle_alpha 90.00
_cell_angle_beta 124.54
_cell_angle_gamma 90.00
loop_
_symmetry_equiv_pos_as_xyz
'x,y,z'
'-x,-y,-z'
'-x,y,-z'
'x,-y,z'
'x+1/2,y+1/2,z'
'-x+1/2,-y+1/2,-z'
'-x+1/2,y+1/2,-z'
'x+1/2,-y+1/2,z'
loop_
_atom_site_label
_atom_site_fract_x
_atom_site_fract_y
_atom_site_fract_z
Li1 0.0000 0.0000 0.0000
Mn1 0.0000 0.0000 0.5000
Co1 0.0000 0.5000 0.5000
Co2 0.2500 0.2500 0.5000
O1 0.0179 0.2484 0.3038
O2 0.2373 0.0000 0.6921
O3 0.2374 0.5000 0.6936
# Calculated density ... 4.329 Mg/m³

It turns out Q is the most stable, with the second structure 0.010 eV/atom higher.